# BiIrO3, optimized geometry, DFT GGA-PBE
# E (eV per formula unit): -24.667
# DOS(E_F) (states/eV per atom): 0.994
# Magnetic moment (μB per cell): 2.65
data_BiIrO3
_cell_length_a 4.213
_cell_length_b 4.213
_cell_length_c 4.213
_cell_angle_alpha 90.00
_cell_angle_beta 90.00
_cell_angle_gamma 90.00
_space_group_name_H-M_alt 'P 1'
_space_group_IT_number 1
loop_
_space_group_symop_operation_xyz
'x,y,z'
loop_
_atom_site_label
_atom_site_fract_x
_atom_site_fract_y
_atom_site_fract_z
_atom_site_occupancy
Ir1 0.500 0.500 0.500 1
Bi1 0.000 0.000 0.000 1
O1 0.000 0.500 0.000 1
O2 0.000 0.000 0.500 1
O3 0.500 0.000 0.000 1


# Na2InAg, optimized geometry, DFT GGA-PBE
# E (eV per formula unit): -8.312
# DOS(E_F) (states/eV per atom): 0.359
# Magnetic moment (μB per cell): 0.00
# ΔE_f (eV/atom): -0.02
data_Na2InAg
_cell_length_a 3.343
_cell_length_b 3.343
_cell_length_c 8.862
_cell_angle_alpha 90.00
_cell_angle_beta 90.00
_cell_angle_gamma 90.00
_space_group_name_H-M_alt 'P 1'
_space_group_IT_number 1
loop_
_space_group_symop_operation_xyz
'x,y,z'
loop_
_atom_site_label
_atom_site_fract_x
_atom_site_fract_y
_atom_site_fract_z
_atom_site_occupancy
Na1 0.000 0.000 0.771 1
Na2 0.000 0.000 0.229 1
Ag1 0.500 0.500 0.000 1
In1 0.500 0.500 0.500 1


# PdRuIO2, optimized geometry, DFT GGA-PBE
# E (eV per formula unit): -22.575
# DOS(E_F) (states/eV per atom): 1.185
# Magnetic moment (μB per cell): 2.16
# ΔE to the lowest computed polymorph (eV/f.u.): 4.74
data_PdRuIO2
_cell_length_a 3.830
_cell_length_b 3.830
_cell_length_c 7.278
_cell_angle_alpha 90.00
_cell_angle_beta 90.00
_cell_angle_gamma 90.00
_space_group_name_H-M_alt 'P 1'
_space_group_IT_number 1
loop_
_space_group_symop_operation_xyz
'x,y,z'
loop_
_atom_site_label
_atom_site_fract_x
_atom_site_fract_y
_atom_site_fract_z
_atom_site_occupancy
I1 0.000 0.000 0.500 1
Ru1 0.500 0.500 0.500 1
O1 0.000 0.500 0.000 1
O2 0.500 0.000 0.000 1
Pd1 0.000 0.000 0.000 1


# HoGa3Pt, optimized geometry, DFT GGA-PBE
# E (eV per formula unit): -23.339
# DOS(E_F) (states/eV per atom): 0.463
# Magnetic moment (μB per cell): 0.00
# ΔE_f (eV/atom): -0.73
data_HoGa3Pt
_cell_length_a 6.192
_cell_length_b 6.192
_cell_length_c 6.192
_cell_angle_alpha 140.50
_cell_angle_beta 140.50
_cell_angle_gamma 57.09
_space_group_name_H-M_alt 'P 1'
_space_group_IT_number 1
loop_
_space_group_symop_operation_xyz
'x,y,z'
loop_
_atom_site_label
_atom_site_fract_x
_atom_site_fract_y
_atom_site_fract_z
_atom_site_occupancy
Ho1 0.613 0.613 0.000 1
Ga1 0.851 0.351 0.500 1
Ga2 0.351 0.851 0.500 1
Ga3 0.202 0.202 0.000 1
Pt1 0.978 0.978 0.000 1


# CrCdSeN2, optimized geometry, DFT GGA-PBE
# E (eV per formula unit): -19.429
# DOS(E_F) (states/eV per atom): 1.282
# Magnetic moment (μB per cell): 0.52
# ΔE to the lowest computed polymorph (eV/f.u.): 9.38
data_CrCdSeN2
_cell_length_a 4.067
_cell_length_b 4.067
_cell_length_c 5.457
_cell_angle_alpha 90.00
_cell_angle_beta 90.00
_cell_angle_gamma 90.00
_space_group_name_H-M_alt 'P 1'
_space_group_IT_number 1
loop_
_space_group_symop_operation_xyz
'x,y,z'
loop_
_atom_site_label
_atom_site_fract_x
_atom_site_fract_y
_atom_site_fract_z
_atom_site_occupancy
Cr1 0.500 0.500 0.500 1
N1 0.000 0.500 0.000 1
N2 0.500 0.000 0.000 1
Se1 0.000 0.000 0.500 1
Cd1 0.000 0.000 0.000 1


# Ti2SiRh, optimized geometry, DFT GGA-PBE
# E (eV per formula unit): -29.004
# DOS(E_F) (states/eV per atom): 0.750
# Magnetic moment (μB per cell): 0.00
data_Ti2SiRh
_cell_length_a 3.760
_cell_length_b 3.760
_cell_length_c 9.426
_cell_angle_alpha 78.49
_cell_angle_beta 78.49
_cell_angle_gamma 90.00
_space_group_name_H-M_alt 'P 1'
_space_group_IT_number 1
loop_
_space_group_symop_operation_xyz
'x,y,z'
loop_
_atom_site_label
_atom_site_fract_x
_atom_site_fract_y
_atom_site_fract_z
_atom_site_occupancy
Si1 0.500 0.500 0.000 1
Si2 0.250 0.750 0.500 1
Rh1 0.000 0.000 0.000 1
Rh2 0.750 0.250 0.500 1
Ti1 0.611 0.125 0.250 1
Ti2 0.139 0.625 0.250 1
Ti3 0.375 0.389 0.750 1
Ti4 0.875 0.861 0.750 1


# RbInGe, optimized geometry, DFT GGA-PBE
# E (eV per formula unit): -8.440
# DOS(E_F) (states/eV per atom): 0.197
# Magnetic moment (μB per cell): 0.00
# ΔE_f (eV/atom): -0.04
data_RbInGe
_cell_length_a 4.852
_cell_length_b 9.101
_cell_length_c 4.593
_cell_angle_alpha 90.03
_cell_angle_beta 89.99
_cell_angle_gamma 90.01
_space_group_name_H-M_alt 'P 1'
_space_group_IT_number 1
loop_
_space_group_symop_operation_xyz
'x,y,z'
loop_
_atom_site_label
_atom_site_fract_x
_atom_site_fract_y
_atom_site_fract_z
_atom_site_occupancy
Ge1 0.633 0.971 0.152 1
Ge2 0.633 0.795 0.652 1
Rb1 0.632 0.443 0.153 1
Rb2 0.133 0.123 0.653 1
In1 0.132 0.586 0.652 1
In2 0.133 0.799 0.152 1


# SbH2PtS, optimized geometry, DFT GGA-PBE
# E (eV per formula unit): -21.281
# DOS(E_F) (states/eV per atom): 0.226
# Magnetic moment (μB per cell): 0.00
# ΔE to the lowest computed polymorph (eV/f.u.): 0.31
data_SbH2PtS
_cell_length_a 6.841
_cell_length_b 3.876
_cell_length_c 7.164
_cell_angle_alpha 90.00
_cell_angle_beta 99.80
_cell_angle_gamma 90.00
_space_group_name_H-M_alt 'P 1'
_space_group_IT_number 1
loop_
_space_group_symop_operation_xyz
'x,y,z'
loop_
_atom_site_label
_atom_site_fract_x
_atom_site_fract_y
_atom_site_fract_z
_atom_site_occupancy
Sb1 0.070 0.000 0.361 1
Sb2 0.070 0.500 0.861 1
H1 0.568 0.000 0.497 1
H2 0.568 0.500 0.997 1
H3 0.811 0.000 0.325 1
H4 0.811 0.500 0.825 1
Pt1 0.246 0.000 0.058 1
Pt2 0.246 0.500 0.558 1
S1 0.479 0.000 0.654 1
S2 0.479 0.500 0.154 1


Question: Among the records above, which one has the highest DOS(E_F)?
Answer: CrCdSeN2


Question: Number 7 is which compound?
Answer: RbInGe


Question: What is the magnetic moment in the fifth record?
Answer: 0.52 μB per cell


Question: Look up the E of the first one.
Answer: -24.667 eV per formula unit